Entry 1:
BaYGe2O6 (PBE-GGA, optimized geometry); calculated density = 4.44 g/cm3; E = -6.906 eV/atom
1.0
5.771 0.000 0.000
2.886 4.998 0.000
2.886 1.666 6.055
O Ge Ba Y
6 2 1 1
direct
0.278 0.924 0.283
0.515 0.278 0.283
0.722 0.076 0.717
0.924 0.515 0.283
0.076 0.485 0.717
0.485 0.722 0.717
0.783 0.783 0.650
0.217 0.217 0.350
0.000 0.000 0.000
0.500 0.500 0.500

Entry 2:
Ba3YGe2O8 (PBE-GGA, optimized geometry); calculated density = 5.29 g/cm3; E = -6.768 eV/atom
1.0
-4.908 -0.563 3.469
3.772 -4.665 -0.673
4.042 2.387 6.106
Ge O Y Ba
2 8 1 3
direct
0.333 0.667 0.219
0.667 0.333 0.781
0.655 0.827 0.322
0.827 0.173 0.678
0.333 0.667 0.990
0.667 0.333 0.010
0.345 0.173 0.678
0.827 0.655 0.678
0.173 0.345 0.322
0.173 0.827 0.322
0.000 0.000 0.500
0.000 0.000 0.000
0.667 0.333 0.332
0.333 0.667 0.668

Entry 3:
Ba3YGe2O9 (PBE-GGA, optimized geometry); calculated density = 6.20 g/cm3; E = -6.767 eV/atom
1.0
5.831 0.000 0.000
-2.915 5.050 0.000
0.000 0.000 7.183
O Ge Ba Y
9 2 3 1
direct
0.822 0.178 0.686
0.500 0.000 0.000
0.500 0.500 0.000
0.356 0.178 0.686
0.000 0.500 0.000
0.178 0.822 0.314
0.822 0.644 0.686
0.178 0.356 0.314
0.644 0.822 0.314
0.667 0.333 0.829
0.333 0.667 0.171
0.000 0.000 0.000
0.333 0.667 0.680
0.667 0.333 0.320
0.000 0.000 0.500

Entry 4:
Ba2ZnGe2O7 (PBE-GGA, optimized geometry); calculated density = 4.89 g/cm3; E = -6.260 eV/atom
1.0
8.480 0.000 0.000
0.000 8.480 0.000
0.000 0.000 5.641
Ba O Ge Zn
4 14 4 2
direct
0.165 0.335 0.492
0.835 0.665 0.492
0.665 0.165 0.508
0.335 0.835 0.508
0.138 0.638 0.271
0.816 0.920 0.186
0.920 0.184 0.814
0.862 0.362 0.271
0.684 0.420 0.814
0.362 0.138 0.729
0.000 0.500 0.839
0.638 0.862 0.729
0.500 0.000 0.161
0.316 0.580 0.814
0.580 0.684 0.186
0.080 0.816 0.814
0.184 0.080 0.186
0.420 0.316 0.186
0.141 0.641 0.962
0.859 0.359 0.962
0.641 0.859 0.038
0.359 0.141 0.038
0.000 0.000 0.000
0.500 0.500 0.000

Which of these has the lowest calculated density? BaYGe2O6

Which value of E does entry 3 give? -6.767 eV/atom